Computed, not measured: a relaxed structure of BaWI2O at the PBE+U level of DFT.

- Relative energy among the computed polymorphs: 0.844 eV/atom
- Calculated density: 4.75 g cm⁻³
- Energy: -3.49 eV/atom
- Fermi-level density of states: 4.66 states/eV/cell
- Symmetry: P4/mmm (123)

a = 6.7711 Å, b = 6.7711 Å, c = 4.5087 Å
α = 90.00°, β = 90.00°, γ = 90.00°
Last column: nearest neighbours and their distance in Å.
Positions (direct):
Ba  0.0000  0.0000  0.0000  2 O 2.25
W  0.5000  0.5000  0.5000  8 I 4.07, 2 W 4.51
I  0.0000  0.5000  0.0000  2 Ba 3.39
I  0.5000  0.0000  0.0000  2 Ba 3.39
O  0.0000  0.0000  0.5000  2 Ba 2.25